# 1
# K3Sr (GGA-PBEsol, optimized geometry)
data_K3Sr
_cell_length_a 4.305
_cell_length_b 4.305
_cell_length_c 14.950
_cell_angle_alpha 90.00
_cell_angle_beta 90.00
_cell_angle_gamma 113.66
_space_group_name_H-M_alt 'P 1'
_space_group_IT_number 1
_space_group_name_Hall 'P 1'
loop_
_atom_site_label
_atom_site_type_symbol
_atom_site_fract_x
_atom_site_fract_y
_atom_site_fract_z
K1 K 0.000 0.000 0.000
K2 K 0.500 0.500 0.257
K3 K 0.500 0.500 0.743
Sr1 Sr 0.000 0.000 0.500
# - E above lowest polymorph (eV/atom) = 0.003
# - mass density (g/cm³) = 1.34
# - ΔE_f (eV/atom) = 0.06
# - uncorrected energy (eV for the cell shown) = -4.990

***

# 2
# Mn2AlP (GGA-PBEsol, optimized geometry)
data_Mn2AlP
_cell_length_a 4.396
_cell_length_b 4.396
_cell_length_c 4.020
_cell_angle_alpha 107.50
_cell_angle_beta 107.50
_cell_angle_gamma 37.16
_space_group_name_H-M_alt 'P 1'
_space_group_IT_number 1
_space_group_name_Hall 'P 1'
loop_
_atom_site_label
_atom_site_type_symbol
_atom_site_fract_x
_atom_site_fract_y
_atom_site_fract_z
Mn1 Mn 0.000 0.000 0.000
Mn2 Mn 0.749 0.749 0.338
Al1 Al 0.247 0.247 0.828
P1 P 0.482 0.482 0.494
# - E above lowest polymorph (eV/atom) = 0.000
# - mass density (g/cm³) = 6.26
# - ΔE_f (eV/atom) = -0.25
# - uncorrected energy (eV for the cell shown) = -30.403

***

# 3
# Ag2PRu (GGA-PBEsol, optimized geometry)
data_Ag2PRu
_cell_length_a 5.554
_cell_length_b 5.554
_cell_length_c 2.935
_cell_angle_alpha 104.80
_cell_angle_beta 104.80
_cell_angle_gamma 125.92
_space_group_name_H-M_alt 'P 1'
_space_group_IT_number 1
_space_group_name_Hall 'P 1'
loop_
_atom_site_label
_atom_site_type_symbol
_atom_site_fract_x
_atom_site_fract_y
_atom_site_fract_z
Ag1 Ag 0.000 0.500 0.000
Ag2 Ag 0.500 0.000 0.000
P1 P 0.000 0.000 0.500
Ru1 Ru 0.500 0.500 0.500
# - E above lowest polymorph (eV/atom) = 0.215
# - mass density (g/cm³) = 9.52
# - ΔE_f (eV/atom) = 0.37
# - uncorrected energy (eV for the cell shown) = -21.114

***

# 4
# TcPdS2Cl (GGA-PBEsol, optimized geometry)
data_TcPdS2Cl
_cell_length_a 4.453
_cell_length_b 4.453
_cell_length_c 4.869
_cell_angle_alpha 90.00
_cell_angle_beta 90.00
_cell_angle_gamma 90.00
_space_group_name_H-M_alt 'P 1'
_space_group_IT_number 1
_space_group_name_Hall 'P 1'
loop_
_atom_site_label
_atom_site_type_symbol
_atom_site_fract_x
_atom_site_fract_y
_atom_site_fract_z
Tc1 Tc 0.000 0.000 0.000
Pd1 Pd 0.500 0.500 0.500
S1 S 0.000 0.500 0.000
S2 S 0.500 0.000 0.000
Cl1 Cl 0.000 0.000 0.500
# - mass density (g/cm³) = 5.23
# - raw formation energy (eV per formula unit) = 1.844
# - uncorrected energy (eV for the cell shown) = -26.158

***

# 5
# SiSbPb (GGA-PBEsol, optimized geometry)
data_SiSbPb
_cell_length_a 4.978
_cell_length_b 4.978
_cell_length_c 4.978
_cell_angle_alpha 60.00
_cell_angle_beta 60.00
_cell_angle_gamma 60.00
_space_group_name_H-M_alt 'P 1'
_space_group_IT_number 1
_space_group_name_Hall 'P 1'
loop_
_atom_site_label
_atom_site_type_symbol
_atom_site_fract_x
_atom_site_fract_y
_atom_site_fract_z
Si1 Si 0.000 0.000 0.000
Sb1 Sb 0.500 0.500 0.500
Pb1 Pb 0.750 0.750 0.750
# - E above lowest polymorph (eV/atom) = 0.313
# - mass density (g/cm³) = 6.80
# - raw formation energy (eV per formula unit) = 2.009
# - uncorrected energy (eV for the cell shown) = -12.294

***

# 6
# Zr2BeTc (GGA-PBEsol, optimized geometry)
data_Zr2BeTc
_cell_length_a 3.319
_cell_length_b 4.151
_cell_length_c 5.023
_cell_angle_alpha 90.00
_cell_angle_beta 101.92
_cell_angle_gamma 90.00
_space_group_name_H-M_alt 'P 1'
_space_group_IT_number 1
_space_group_name_Hall 'P 1'
loop_
_atom_site_label
_atom_site_type_symbol
_atom_site_fract_x
_atom_site_fract_y
_atom_site_fract_z
Zr1 Zr 0.000 0.000 0.000
Zr2 Zr 0.187 0.500 0.567
Be1 Be 0.545 0.500 0.132
Tc1 Tc 0.635 0.000 0.440
# - mass density (g/cm³) = 7.10
# - ΔE_f (eV/atom) = -0.15
# - uncorrected energy (eV for the cell shown) = -34.047

***

# 7
# BaRhC2 (GGA-PBEsol, optimized geometry)
data_BaRhC2
_cell_length_a 6.611
_cell_length_b 6.611
_cell_length_c 6.611
_cell_angle_alpha 134.82
_cell_angle_beta 134.82
_cell_angle_gamma 65.81
_space_group_name_H-M_alt 'P 1'
_space_group_IT_number 1
_space_group_name_Hall 'P 1'
loop_
_atom_site_label
_atom_site_type_symbol
_atom_site_fract_x
_atom_site_fract_y
_atom_site_fract_z
Ba1 Ba 0.000 0.000 0.000
Ba2 Ba 0.750 0.250 0.500
Rh1 Rh 0.250 0.750 0.500
Rh2 Rh 0.500 0.500 0.000
C1 C 0.322 0.625 0.197
C2 C 0.375 0.572 0.697
C3 C 0.428 0.125 0.803
C4 C 0.875 0.678 0.303
# - mass density (g/cm³) = 6.13
# - ΔE_f (eV/atom) = 0.64
# - uncorrected energy (eV for the cell shown) = -54.056

***

# 8
# Tl2Ga2Bi (GGA-PBEsol, optimized geometry)
data_Tl2Ga2Bi
_cell_length_a 7.527
_cell_length_b 7.527
_cell_length_c 4.518
_cell_angle_alpha 90.00
_cell_angle_beta 90.00
_cell_angle_gamma 90.00
_space_group_name_H-M_alt 'P 1'
_space_group_IT_number 1
_space_group_name_Hall 'P 1'
loop_
_atom_site_label
_atom_site_type_symbol
_atom_site_fract_x
_atom_site_fract_y
_atom_site_fract_z
Tl1 Tl 0.178 0.322 0.000
Tl2 Tl 0.322 0.822 0.000
Tl3 Tl 0.678 0.178 0.000
Tl4 Tl 0.822 0.678 0.000
Ga1 Ga 0.123 0.623 0.500
Ga2 Ga 0.377 0.123 0.500
Ga3 Ga 0.623 0.877 0.500
Ga4 Ga 0.877 0.377 0.500
Bi1 Bi 0.000 0.000 0.500
Bi2 Bi 0.500 0.500 0.500
# - mass density (g/cm³) = 9.83
# - ΔE_f (eV/atom) = 0.05
# - uncorrected energy (eV for the cell shown) = -31.925

***

# 9
# Al4Fe3 (GGA-PBEsol, optimized geometry)
data_Al4Fe3
_cell_length_a 10.047
_cell_length_b 10.047
_cell_length_c 10.047
_cell_angle_alpha 163.01
_cell_angle_beta 163.01
_cell_angle_gamma 24.11
_space_group_name_H-M_alt 'P 1'
_space_group_IT_number 1
_space_group_name_Hall 'P 1'
loop_
_atom_site_label
_atom_site_type_symbol
_atom_site_fract_x
_atom_site_fract_y
_atom_site_fract_z
Al1 Al 0.066 0.066 0.000
Al2 Al 0.348 0.348 0.000
Al3 Al 0.652 0.652 0.000
Al4 Al 0.934 0.934 0.000
Fe1 Fe 0.216 0.216 0.000
Fe2 Fe 0.500 0.500 0.000
Fe3 Fe 0.784 0.784 0.000
# - mass density (g/cm³) = 5.29
# - ΔE_f (eV/atom) = -0.28
# - uncorrected energy (eV for the cell shown) = -45.185

***

# 10
# YZnGeBi2 (GGA-PBEsol, optimized geometry)
data_YZnGeBi2
_cell_length_a 5.626
_cell_length_b 5.626
_cell_length_c 4.491
_cell_angle_alpha 90.00
_cell_angle_beta 90.00
_cell_angle_gamma 90.00
_space_group_name_H-M_alt 'P 1'
_space_group_IT_number 1
_space_group_name_Hall 'P 1'
loop_
_atom_site_label
_atom_site_type_symbol
_atom_site_fract_x
_atom_site_fract_y
_atom_site_fract_z
Y1 Y 0.000 0.000 0.000
Zn1 Zn 0.500 0.500 0.000
Ge1 Ge 0.500 0.500 0.500
Bi1 Bi 0.000 0.500 0.500
Bi2 Bi 0.500 0.000 0.500
# - mass density (g/cm³) = 7.53
# - ΔE_f (eV/atom) = 0.17
# - uncorrected energy (eV for the cell shown) = -21.083

***

# 11
# SrTcRh2 (GGA-PBEsol, optimized geometry)
data_SrTcRh2
_cell_length_a 9.605
_cell_length_b 9.605
_cell_length_c 9.605
_cell_angle_alpha 16.92
_cell_angle_beta 16.92
_cell_angle_gamma 16.92
_space_group_name_H-M_alt 'P 1'
_space_group_IT_number 1
_space_group_name_Hall 'P 1'
loop_
_atom_site_label
_atom_site_type_symbol
_atom_site_fract_x
_atom_site_fract_y
_atom_site_fract_z
Sr1 Sr 0.000 0.000 0.000
Tc1 Tc 0.500 0.500 0.500
Rh1 Rh 0.240 0.240 0.240
Rh2 Rh 0.760 0.760 0.760
# - mass density (g/cm³) = 9.93
# - ΔE_f (eV/atom) = 0.53
# - uncorrected energy (eV for the cell shown) = -27.276

***

# 12
# MnZn2TcCl (GGA-PBEsol, optimized geometry)
data_MnZn2TcCl
_cell_length_a 4.719
_cell_length_b 4.719
_cell_length_c 4.179
_cell_angle_alpha 90.00
_cell_angle_beta 90.00
_cell_angle_gamma 90.00
_space_group_name_H-M_alt 'P 1'
_space_group_IT_number 1
_space_group_name_Hall 'P 1'
loop_
_atom_site_label
_atom_site_type_symbol
_atom_site_fract_x
_atom_site_fract_y
_atom_site_fract_z
Mn1 Mn 0.000 0.000 0.000
Zn1 Zn 0.000 0.500 0.000
Zn2 Zn 0.500 0.000 0.000
Tc1 Tc 0.000 0.000 0.500
Cl1 Cl 0.500 0.500 0.500
# - mass density (g/cm³) = 5.70
# - raw formation energy (eV per formula unit) = 4.366
# - uncorrected energy (eV for the cell shown) = -21.833

***

# 13
# BaCu9Si4 (GGA-PBEsol, optimized geometry)
data_BaCu9Si4
_cell_length_a 8.150
_cell_length_b 8.150
_cell_length_c 8.150
_cell_angle_alpha 120.36
_cell_angle_beta 120.36
_cell_angle_gamma 89.38
_space_group_name_H-M_alt 'P 1'
_space_group_IT_number 1
_space_group_name_Hall 'P 1'
loop_
_atom_site_label
_atom_site_type_symbol
_atom_site_fract_x
_atom_site_fract_y
_atom_site_fract_z
Ba1 Ba 0.250 0.250 0.000
Ba2 Ba 0.750 0.750 0.000
Cu1 Cu 0.000 0.500 0.500
Cu2 Cu 0.060 0.560 0.256
Cu3 Cu 0.064 0.795 0.859
Cu4 Cu 0.197 0.940 0.500
Cu5 Cu 0.205 0.064 0.269
Cu6 Cu 0.295 0.564 0.859
Cu7 Cu 0.303 0.803 0.744
Cu8 Cu 0.436 0.295 0.731
Cu9 Cu 0.440 0.697 0.500
Cu10 Cu 0.500 0.000 0.500
Cu11 Cu 0.560 0.303 0.500
Cu12 Cu 0.564 0.705 0.269
Cu13 Cu 0.697 0.197 0.256
Cu14 Cu 0.705 0.436 0.141
Cu15 Cu 0.795 0.936 0.731
Cu16 Cu 0.803 0.060 0.500
Cu17 Cu 0.936 0.205 0.141
Cu18 Cu 0.940 0.440 0.744
Si1 Si 0.060 0.208 0.500
Si2 Si 0.208 0.708 0.148
Si3 Si 0.292 0.440 0.500
Si4 Si 0.440 0.940 0.148
Si5 Si 0.560 0.060 0.852
Si6 Si 0.708 0.560 0.500
Si7 Si 0.792 0.292 0.852
Si8 Si 0.940 0.792 0.500
# - mass density (g/cm³) = 7.17
# - raw formation energy (eV per formula unit) = -3.495
# - uncorrected energy (eV for the cell shown) = -135.276

***

# 14
# SiPb2Se (GGA-PBEsol, optimized geometry)
data_SiPb2Se
_cell_length_a 5.180
_cell_length_b 5.180
_cell_length_c 3.574
_cell_angle_alpha 90.00
_cell_angle_beta 90.00
_cell_angle_gamma 90.15
_space_group_name_H-M_alt 'P 1'
_space_group_IT_number 1
_space_group_name_Hall 'P 1'
loop_
_atom_site_label
_atom_site_type_symbol
_atom_site_fract_x
_atom_site_fract_y
_atom_site_fract_z
Si1 Si 0.000 0.000 0.000
Pb1 Pb 0.000 0.500 0.500
Pb2 Pb 0.500 0.000 0.500
Se1 Se 0.500 0.500 0.000
# - E above lowest polymorph (eV/atom) = 0.117
# - mass density (g/cm³) = 9.03
# - raw formation energy (eV per formula unit) = 0.565
# - uncorrected energy (eV for the cell shown) = -17.030

***

# 15
# LaFeTe2 (GGA-PBEsol, optimized geometry)
data_LaFeTe2
_cell_length_a 4.196
_cell_length_b 4.196
_cell_length_c 6.322
_cell_angle_alpha 90.00
_cell_angle_beta 90.00
_cell_angle_gamma 90.00
_space_group_name_H-M_alt 'P 1'
_space_group_IT_number 1
_space_group_name_Hall 'P 1'
loop_
_atom_site_label
_atom_site_type_symbol
_atom_site_fract_x
_atom_site_fract_y
_atom_site_fract_z
La1 La 0.000 0.000 0.000
Fe1 Fe 0.500 0.500 0.668
Te1 Te 0.000 0.000 0.527
Te2 Te 0.500 0.500 0.111
# - mass density (g/cm³) = 6.71
# - raw formation energy (eV per formula unit) = -1.803
# - uncorrected energy (eV for the cell shown) = -23.165

***

# 16
# La2SbTe (GGA-PBEsol, optimized geometry)
data_La2SbTe
_cell_length_a 7.851
_cell_length_b 7.851
_cell_length_c 7.851
_cell_angle_alpha 33.67
_cell_angle_beta 33.67
_cell_angle_gamma 33.67
_space_group_name_H-M_alt 'P 1'
_space_group_IT_number 1
_space_group_name_Hall 'P 1'
loop_
_atom_site_label
_atom_site_type_symbol
_atom_site_fract_x
_atom_site_fract_y
_atom_site_fract_z
La1 La 0.248 0.248 0.248
La2 La 0.752 0.752 0.752
Sb1 Sb 0.500 0.500 0.500
Te1 Te 0.000 0.000 0.000
# - mass density (g/cm³) = 6.61
# - raw formation energy (eV per formula unit) = -5.859
# - uncorrected energy (eV for the cell shown) = -24.635

***

# 17
# Be2FeIr2 (GGA-PBEsol, optimized geometry)
data_Be2FeIr2
_cell_length_a 4.739
_cell_length_b 4.739
_cell_length_c 4.739
_cell_angle_alpha 129.56
_cell_angle_beta 129.56
_cell_angle_gamma 74.11
_space_group_name_H-M_alt 'P 1'
_space_group_IT_number 1
_space_group_name_Hall 'P 1'
loop_
_atom_site_label
_atom_site_type_symbol
_atom_site_fract_x
_atom_site_fract_y
_atom_site_fract_z
Be1 Be 0.140 0.140 0.000
Be2 Be 0.860 0.860 0.000
Fe1 Fe 0.500 0.500 0.000
Ir1 Ir 0.250 0.750 0.500
Ir2 Ir 0.750 0.250 0.500
# - mass density (g/cm³) = 12.34
# - ΔE_f (eV/atom) = 0.10
# - uncorrected energy (eV for the cell shown) = -36.129

***

# 18
# CoCuTc2 (GGA-PBEsol, optimized geometry)
data_CoCuTc2
_cell_length_a 3.016
_cell_length_b 3.016
_cell_length_c 5.479
_cell_angle_alpha 90.00
_cell_angle_beta 90.00
_cell_angle_gamma 90.00
_space_group_name_H-M_alt 'P 1'
_space_group_IT_number 1
_space_group_name_Hall 'P 1'
loop_
_atom_site_label
_atom_site_type_symbol
_atom_site_fract_x
_atom_site_fract_y
_atom_site_fract_z
Co1 Co 0.000 0.000 0.000
Cu1 Cu 0.500 0.500 0.207
Tc1 Tc 0.000 0.000 0.475
Tc2 Tc 0.500 0.500 0.734
# - E above lowest polymorph (eV/atom) = 0.000
# - mass density (g/cm³) = 10.61
# - ΔE_f (eV/atom) = 0.21
# - uncorrected energy (eV for the cell shown) = -33.753

***

# 19
# Na3CaB (GGA-PBEsol, optimized geometry)
data_Na3CaB
_cell_length_a 6.222
_cell_length_b 6.222
_cell_length_c 6.222
_cell_angle_alpha 90.00
_cell_angle_beta 90.00
_cell_angle_gamma 90.00
_space_group_name_H-M_alt 'P 1'
_space_group_IT_number 1
_space_group_name_Hall 'P 1'
loop_
_atom_site_label
_atom_site_type_symbol
_atom_site_fract_x
_atom_site_fract_y
_atom_site_fract_z
Na1 Na 0.000 0.000 0.500
Na2 Na 0.000 0.500 0.000
Na3 Na 0.500 0.000 0.000
Ca1 Ca 0.000 0.000 0.000
B1 B 0.500 0.500 0.500
# - E above lowest polymorph (eV/atom) = 0.937
# - mass density (g/cm³) = 0.83
# - ΔE_f (eV/atom) = 1.66
# - uncorrected energy (eV for the cell shown) = -5.052

***

# 20
# Pr4S3NCl3 (GGA-PBEsol, optimized geometry)
data_Pr4S3NCl3
_cell_length_a 9.271
_cell_length_b 9.271
_cell_length_c 6.838
_cell_angle_alpha 90.00
_cell_angle_beta 90.00
_cell_angle_gamma 120.00
_space_group_name_H-M_alt 'P 1'
_space_group_IT_number 1
_space_group_name_Hall 'P 1'
loop_
_atom_site_label
_atom_site_type_symbol
_atom_site_fract_x
_atom_site_fract_y
_atom_site_fract_z
Pr1 Pr 0.201 0.402 0.000
Pr2 Pr 0.201 0.799 0.000
Pr3 Pr 0.333 0.667 0.463
Pr4 Pr 0.402 0.201 0.500
Pr5 Pr 0.598 0.799 0.000
Pr6 Pr 0.667 0.333 0.963
Pr7 Pr 0.799 0.201 0.500
Pr8 Pr 0.799 0.598 0.500
S1 S 0.061 0.530 0.721
S2 S 0.470 0.530 0.721
S3 S 0.470 0.939 0.721
S4 S 0.530 0.061 0.221
S5 S 0.530 0.470 0.221
S6 S 0.939 0.470 0.221
N1 N 0.333 0.667 0.119
N2 N 0.667 0.333 0.619
Cl1 Cl 0.132 0.265 0.393
Cl2 Cl 0.132 0.868 0.393
Cl3 Cl 0.265 0.132 0.893
Cl4 Cl 0.735 0.868 0.393
Cl5 Cl 0.868 0.132 0.893
Cl6 Cl 0.868 0.735 0.893
# - mass density (g/cm³) = 5.09
# - raw formation energy (eV per formula unit) = -23.347
# - uncorrected energy (eV for the cell shown) = -143.575